# 1
# Ho5Tm2Ge4 | the Alexandria database | PBE-GGA | relaxed
data_Ho5Tm2Ge4
_space_group_name_H-M_alt 'C 1 2/m 1'
_space_group_IT_number 12
_cell_length_a 21.305
_cell_length_b 3.722
_cell_length_c 7.812
_cell_angle_alpha 90.00
_cell_angle_beta 97.21
_cell_angle_gamma 90.00
loop_
_space_group_symop_operation_xyz
'x,y,z'
'-x,-y,-z'
'-x,y,-z'
'x,-y,z'
'x+1/2,y+1/2,z'
'-x+1/2,-y+1/2,-z'
'-x+1/2,y+1/2,-z'
'x+1/2,-y+1/2,z'
loop_
_atom_site_label
_atom_site_fract_x
_atom_site_fract_y
_atom_site_fract_z
Ho1 0.000 0.000 0.000
Ho2 0.105 0.500 0.417
Ho3 0.158 0.500 0.972
Tm1 0.232 0.000 0.668
Ge1 0.024 0.500 0.725
Ge2 0.102 0.000 0.706
# Fermi-level density of states ... 19.14 states/eV/cell
# Density ... 7.852 g/cm³
# Uncorrected energy ... -4.83 eV per atom
# ΔE_f ... -0.258 eV per atom

---

# 2
# BaSn4Ir2 | the Alexandria database | PBE-GGA | relaxed
data_BaSn4Ir2
_space_group_name_H-M_alt 'P n m a'
_space_group_IT_number 62
_cell_length_a 19.171
_cell_length_b 4.602
_cell_length_c 7.364
_cell_angle_alpha 90.00
_cell_angle_beta 90.00
_cell_angle_gamma 90.00
loop_
_space_group_symop_operation_xyz
'x,y,z'
'-x,-y,-z'
'-x+1/2,-y,z+1/2'
'x+1/2,y,-z+1/2'
'x+1/2,-y+1/2,-z+1/2'
'-x+1/2,y+1/2,z+1/2'
'-x,y+1/2,-z'
'x,-y+1/2,z'
loop_
_atom_site_label
_atom_site_fract_x
_atom_site_fract_y
_atom_site_fract_z
Ba1 0.141 0.250 0.001
Sn1 0.030 0.750 0.860
Sn2 0.069 0.250 0.484
Sn3 0.183 0.750 0.306
Sn4 0.196 0.750 0.720
Ir1 0.036 0.750 0.260
Ir2 0.213 0.250 0.514
# Relative energy among the computed polymorphs ... 0.000 eV/atom
# Fermi-level density of states ... 13.91 states/eV/cell
# Density ... 10.189 g/cm³
# Uncorrected energy ... -5.51 eV per atom
# ΔE_f ... -0.412 eV per atom

---

# 3
# NbTc | the Alexandria database | PBE-GGA | relaxed
data_NbTc
_space_group_name_H-M_alt 'I 4/m'
_space_group_IT_number 87
_space_group_name_Hall '-I 4'
_cell_length_a 7.846
_cell_length_b 7.846
_cell_length_c 4.553
_cell_angle_alpha 90.00
_cell_angle_beta 90.00
_cell_angle_gamma 90.00
loop_
_atom_site_label
_atom_site_fract_x
_atom_site_fract_y
_atom_site_fract_z
Nb1 0.014 0.307 0.000
Tc1 0.142 0.178 0.500
# Fermi-level density of states ... 13.38 states/eV/cell
# Density ... 9.048 g/cm³
# Uncorrected energy ... -10.07 eV per atom
# ΔE_f ... 0.143 eV per atom

---

# 4
# Ho2PaS3 | the Alexandria database | PBE-GGA | relaxed
data_Ho2PaS3
_space_group_name_H-M_alt 'P 1 21/c 1'
_space_group_IT_number 14
_cell_length_a 5.496
_cell_length_b 11.663
_cell_length_c 7.769
_cell_angle_alpha 90.00
_cell_angle_beta 90.01
_cell_angle_gamma 90.00
loop_
_space_group_symop_operation_xyz
'x,y,z'
'-x,-y,-z'
'-x,y+1/2,-z+1/2'
'x,-y+1/2,z+1/2'
loop_
_atom_site_label
_atom_site_fract_x
_atom_site_fract_y
_atom_site_fract_z
Ho1 0.249 0.249 0.377
Ho2 0.250 0.584 0.870
Pa1 0.250 0.583 0.379
S1 0.249 0.086 0.128
S2 0.250 0.082 0.625
S3 0.251 0.747 0.125
# Raw formation energy ... -1.84 eV/atom
# Fermi-level density of states ... 19.76 states/eV/cell
# Density ... 8.765 g/cm³
# Uncorrected energy ... -7.01 eV per atom

---

- Among the records above, which one has the lowest Fermi-level density of states?
  NbTc

---

Please write out number 3 again, unchanged.
# NbTc | the Alexandria database | PBE-GGA | relaxed
data_NbTc
_space_group_name_H-M_alt 'I 4/m'
_space_group_IT_number 87
_space_group_name_Hall '-I 4'
_cell_length_a 7.846
_cell_length_b 7.846
_cell_length_c 4.553
_cell_angle_alpha 90.00
_cell_angle_beta 90.00
_cell_angle_gamma 90.00
loop_
_atom_site_label
_atom_site_fract_x
_atom_site_fract_y
_atom_site_fract_z
Nb1 0.014 0.307 0.000
Tc1 0.142 0.178 0.500
# Fermi-level density of states ... 13.38 states/eV/cell
# Density ... 9.048 g/cm³
# Uncorrected energy ... -10.07 eV per atom
# ΔE_f ... 0.143 eV per atom

---

- Which value of Fermi-level density of states does entry 1 give?
  19.14 states/eV/cell